Entry 1:
VASP calculation (meta-GGA SCAN) on a PBEsol-optimized structure of ZrWCl.

Lattice parameters (Å, degrees): 7.8707 7.8707 7.8707 159.10 159.10 29.73
Atoms (fractional coordinates):
Zr: 0.0000 0.0000 0.0000
W: 0.3542 0.3542 0.0000
Cl: 0.6144 0.6144 0.0000

Results
Relative energy among the computed polymorphs (meV per atom): 0
Density (g/cm³): 8.31
Crystal system: tetragonal
Uncorrected formation energy (eV per atom): 0.116


Entry 2:
VASP calculation (meta-GGA SCAN) on a PBEsol-optimized structure of Zr2WCl.

Lattice parameters (Å, degrees): 3.2020 3.3240 7.6950 90.00 90.00 90.00
Atoms (fractional coordinates):
Zr: 0.0000 0.0000 0.2106
Zr: 0.0000 0.0000 0.7894
W: 0.5000 0.5000 0.0000
Cl: 0.5000 0.0000 0.5000

Results
Relative energy among the computed polymorphs (meV per atom): 0
Density (g/cm³): 8.15
Crystal system: orthorhombic
Uncorrected formation energy (eV per atom): -0.545


Entry 3:
VASP calculation (meta-GGA SCAN) on a PBEsol-optimized structure of Zr2WCl.

Lattice parameters (Å, degrees): 4.8272 4.8272 3.1573 90.00 90.00 97.21
Atoms (fractional coordinates):
Zr: 0.0000 0.5000 0.0000
Zr: 0.5000 0.0000 0.0000
W: 0.0000 0.0000 0.5000
Cl: 0.5000 0.5000 0.5000

Results
Relative energy among the computed polymorphs (meV per atom): 629
Density (g/cm³): 9.14
Crystal system: orthorhombic
Uncorrected formation energy (eV per atom): 0.083


Entry 4:
VASP calculation (meta-GGA SCAN) on a PBEsol-optimized structure of Zr2WCl.

Lattice parameters (Å, degrees): 2.9741 2.9741 9.7549 90.00 90.00 111.92
Atoms (fractional coordinates):
Zr: 0.0000 0.0000 0.0000
Zr: 0.5000 0.5000 0.2684
W: 0.0000 0.0000 0.4846
Cl: 0.5000 0.5000 0.8006

Results
Relative energy among the computed polymorphs (meV per atom): 635
Density (g/cm³): 8.33
Crystal system: orthorhombic
Uncorrected formation energy (eV per atom): 0.089